# Cr2SiHg | the Alexandria database | PBE | relaxed
# - E_form (uncorrected): 0.45 eV/atom
data_Cr2SiHg
_space_group_name_H-M_alt 'C 1 2/m 1'
_space_group_IT_number 12
_space_group_name_Hall '-C 2y'
_cell_length_a 7.375
_cell_length_b 2.980
_cell_length_c 6.330
_cell_angle_alpha 90.00
_cell_angle_beta 100.47
_cell_angle_gamma 90.00
loop_
_atom_site_label
_atom_site_type_symbol
_atom_site_fract_x
_atom_site_fract_y
_atom_site_fract_z
_atom_site_occupancy
Cr1 Cr 0.240 0.000 0.197 1
Si1 Si 0.000 0.500 0.000 1
Hg1 Hg 0.000 0.000 0.500 1